ScPCl3 | PBE | relaxed

The space group is P6_3/mmc (No. 194) and the conventional cell measures 8.2548, 8.2548 and 6.4658 Å, with angles of 90.00, 90.00 and 120.00 degrees. The inequivalent atoms are Sc at (0.0000, 0.0000, 0.0000), P at (0.3333, 0.6667, 0.2500) and Cl at (0.1347, 0.2694, 0.7500).

As for the theoretical density: 1.587 g/cm3. The magnetization is 0.600 μB per atom. The calculation puts the uncorrected energy at -44.1 eV for the cell shown. For the uncorrected formation energy, the calculation gives -0.949 eV/atom.